Entry 1:
An optimized crystal structure of ScTeRuN2. Source: Alexandria via LeMat-Bulk, functional PBE.

Geometry as POSCAR:
```
ScTeRuN2
1.0
4.0477 0.0000 0.0000
0.0000 4.0477 0.0000
0.0000 0.0000 5.9963
Sc Te N Ru
1 1 2 1
Direct
0.0000 0.0000 0.0000 Sc
0.0000 0.0000 0.5000 Te
0.0000 0.5000 0.0000 N
0.5000 0.0000 0.0000 N
0.5000 0.5000 0.5000 Ru
```

## Properties
Energy relative to the elements, uncorrected   1.122 eV per atom
Space group   P4/mmm (123)
Relative energy among the computed polymorphs   3.545 eV per formula unit
V   19.649 A^3/atom
E_tot   -29.79 eV for the cell shown

=====

Entry 2:
An optimized crystal structure of NdCuGe2Rh. Source: Alexandria via LeMat-Bulk, functional PBE.

Geometry as POSCAR:
```
NdCuGe2Rh
1.0
4.2142 0.0000 0.0000
0.0000 4.2142 0.0000
-2.1071 -2.1071 5.1528
Nd Rh Ge Cu
1 1 2 1
Direct
0.0000 0.0000 0.0000 Nd
0.7500 0.2500 0.5000 Rh
0.6237 0.6237 0.2474 Ge
0.3763 0.3763 0.7526 Ge
0.2500 0.7500 0.5000 Cu
```

## Properties
Space group   I-4m2 (119)
ΔH_f (0 K)   -662 meV/atom
V   18.302 A^3/atom
E_tot   -28.76 eV for the cell shown

=====

Entry 3:
An optimized crystal structure of LaDyHo3. Source: Alexandria via LeMat-Bulk, functional PBE.

Geometry as POSCAR:
```
LaDyHo3
1.0
5.4874 0.0000 0.0000
0.0000 10.3877 0.0000
0.0000 0.0000 11.8394
Ho Dy La
12 4 4
Direct
0.9996 0.0635 0.8070 Ho
0.5004 0.4365 0.3070 Ho
0.4995 0.2500 0.8281 Ho
0.0004 0.5635 0.1930 Ho
0.4996 0.9365 0.6930 Ho
0.0004 0.9365 0.1930 Ho
0.5005 0.7500 0.1719 Ho
0.0005 0.2500 0.3281 Ho
0.4996 0.5635 0.6930 Ho
0.9995 0.7500 0.6719 Ho
0.5004 0.0635 0.3070 Ho
0.9996 0.4365 0.8070 Ho
0.0000 0.0000 0.5000 Dy
0.5000 0.0000 0.0000 Dy
0.0000 0.5000 0.5000 Dy
0.5000 0.5000 0.0000 Dy
0.4993 0.7500 0.4493 La
0.0007 0.7500 0.9493 La
0.5007 0.2500 0.5507 La
0.9993 0.2500 0.0507 La
```

## Properties
Space group   Pnma (62)
Relative energy among the computed polymorphs   0.740 eV per formula unit
ΔH_f (0 K)   180 meV/atom
V   33.744 A^3/atom
E_tot   -89.45 eV for the cell shown

=====

Entry 4:
An optimized crystal structure of LiSmLuTc. Source: Alexandria via LeMat-Bulk, functional PBE.

Geometry as POSCAR:
```
LiSmLuTc
1.0
-2.3908 3.6401 2.3124
-1.3255 -0.5292 4.7198
2.2802 2.6085 3.5086
Lu Li Sm Tc
1 1 1 1
Direct
0.0000 0.0000 0.0000 Lu
0.7500 0.7500 0.7500 Li
0.5000 0.5000 0.5000 Sm
0.2500 0.2500 0.2500 Tc
```

## Properties
Space group   F-43m (216)
ΔH_f (0 K)   -17 meV/atom
V   21.194 A^3/atom
E_tot   -21.59 eV for the cell shown

=====

Entry 5:
An optimized crystal structure of Ac3Th3UN8. Source: Alexandria via LeMat-Bulk, functional PBE.

Geometry as POSCAR:
```
Ac3Th3UN8
1.0
-4.3841 5.5985 -1.9057
-2.6397 -5.5150 4.0914
4.8639 4.8464 3.0504
N Th Ac U
8 3 3 1
Direct
0.7869 0.5738 0.3094 N
0.2131 0.4262 0.6906 N
0.7867 0.0226 0.3092 N
0.2620 0.5242 0.2862 N
0.2359 0.0226 0.3091 N
0.2133 0.9774 0.6908 N
0.7380 0.4758 0.7138 N
0.7641 0.9774 0.6909 N
0.5000 0.5000 0.5000 Th
0.0000 0.5000 0.5000 Th
0.5000 0.0000 0.5000 Th
0.5000 0.5000 0.0000 Ac
0.0000 0.0000 0.0000 Ac
0.0000 0.5000 0.0000 Ac
0.0000 0.0000 0.5000 U
```

## Properties
Energy relative to the elements, uncorrected   -1.342 eV per atom
Space group   C2/m (12)
V   19.363 A^3/atom
E_tot   -132.60 eV for the cell shown

=====

Entry 6:
An optimized crystal structure of TbSm14Tl. Source: Alexandria via LeMat-Bulk, functional PBE.

Geometry as POSCAR:
```
TbSm14Tl
1.0
-1.1633 -3.2678 -6.2769
-3.1440 -5.4597 3.4261
-9.0223 4.7070 -0.7784
Sm Tb Tl
14 1 1
Direct
0.1247 0.8753 0.2468 Sm
0.8751 0.6255 0.0000 Sm
0.1245 0.3745 0.7535 Sm
0.3745 0.1249 0.0000 Sm
0.6255 0.8755 0.7535 Sm
0.8751 0.1249 0.5000 Sm
0.3753 0.1251 0.5000 Sm
0.6254 0.3746 0.2462 Sm
0.3752 0.6248 0.5000 Sm
0.6254 0.3746 0.7538 Sm
0.6255 0.8755 0.2465 Sm
0.1245 0.3745 0.2465 Sm
0.8749 0.6247 0.5000 Sm
0.1247 0.8753 0.7532 Sm
0.3749 0.6251 0.0000 Tb
0.8749 0.1251 0.0000 Tl
```

## Properties
Space group   P4/mmm (123)
ΔH_f (0 K)   -18 meV/atom
V   32.807 A^3/atom
E_tot   -73.35 eV for the cell shown

=====

Entry 7:
An optimized crystal structure of LiTeH. Source: Alexandria via LeMat-Bulk, functional PBE.

Geometry as POSCAR:
```
LiTeH
1.0
3.0786 -0.5376 -0.0426
0.7565 3.9661 0.3445
1.4155 -0.8499 8.5630
H Te Li
2 2 2
Direct
0.0033 0.3748 0.8851 H
0.9940 0.3784 0.7975 H
0.3551 0.8763 0.1201 Te
0.6387 0.8793 0.5608 Te
0.9934 0.8770 0.8435 Li
0.2217 0.3797 0.3731 Li
```

## Properties
Space group   P1 (1)
V   18.158 A^3/atom
E_tot   -19.40 eV for the cell shown

=====

Entry 8:
An optimized crystal structure of TlTc2F. Source: Alexandria via LeMat-Bulk, functional PBE.

Geometry as POSCAR:
```
TlTc2F
1.0
2.0464 -3.5653 -1.9756
-0.5223 -4.1825 1.7423
-2.4841 -3.1063 -2.2320
Tc F Tl
2 1 1
Direct
0.2500 0.2500 0.2500 Tc
0.7500 0.7500 0.7500 Tc
0.0000 0.0000 0.0000 F
0.5000 0.5000 0.5000 Tl
```

## Properties
Energy relative to the elements, uncorrected   0.769 eV per atom
Space group   Fm-3m (225)
Relative energy among the computed polymorphs   2.246 eV per formula unit
V   16.772 A^3/atom
E_tot   -21.90 eV for the cell shown